## H2Pd2Au (meta-GGA SCAN)

Data for a PBEsol-optimized structure of H2Pd2Au.

It has space group I4/mmm (No. 139), with a = 3.010 Å, b = 3.010 Å, c = 11.549 Å, α = 90.00°, β = 90.00° and γ = 90.00°. The asymmetric unit holds H at (0.000, 0.500, 0.250), Pd at (0.000, 0.000, 0.158) and Au at (0.000, 0.000, 0.500).

=====

## BaSr2Ag (meta-GGA SCAN)

Data for a PBEsol-optimized structure of BaSr2Ag.

The value obtained for the formation energy from the elements is -97 meV per atom. The calculation puts the energy above the lowest structure with this stoichiometry at 28.0 meV/atom.

It has space group R-3m (No. 166, hexagonal axes), with a = 4.4022 Å, b = 4.4022 Å, c = 32.8051 Å, α = 90.00°, β = 90.00° and γ = 120.00°. The asymmetric unit holds Ba at (0.0000, 0.0000, 0.0000), Sr at (0.0000, 0.0000, 0.2228) and Ag at (0.0000, 0.0000, 0.5000).

=====

## BeFe2NiN (meta-GGA SCAN)

Data for a PBEsol-optimized structure of BeFe2NiN.

It has space group P4/mmm (No. 123), with a = 4.247 Å, b = 4.247 Å, c = 2.925 Å, α = 90.00°, β = 90.00° and γ = 90.00°. The asymmetric unit holds Be at (0.000, 0.000, 0.000), Fe at (0.000, 0.500, 0.000), Ni at (0.500, 0.500, 0.500) and N at (0.000, 0.000, 0.500).

=====

Per-record D(E_F), states/eV per cell: 1.75, 11.55, 2.13
Per-record E, eV per formula unit: -142.12, -115.85, -63.26